An optimized crystal structure of Si2Hg2Sb, computed with GGA-PBEsol.

The space group is I4/mmm (No. 139) and the conventional cell measures 3.457, 3.457 and 17.879 Å, with angles of 90.00, 90.00 and 90.00 degrees. The inequivalent atoms are Si at (0.000, 0.500, 0.250), Hg at (0.000, 0.000, 0.113) and Sb at (0.000, 0.000, 0.500).

The calculation puts the size of the total moment at 0.0000 μB per atom. The formation energy (no corrections) comes out at 283 meV per atom.